# 1
## In12P5Au3 (GGA-PBE)

Data for an optimized crystal structure of In12P5Au3.

raw total energy	-70.46	eV/f.u.
crystal system	cubic
symmetry	Ia-3d, No. 230
DOS(E_F)	0.416	states/eV per atom
energy of formation	-3.5	kJ per mole of atoms

Unit cell a=13.8727 b=13.8727 c=13.8727 alpha=109.47 beta=109.47 gamma=109.47
Fractional positions:
P (0.5000, 0.0000, 0.5000)
P (0.3750, 0.2500, 0.1250)
P (0.1250, 0.7500, 0.3750)
P (0.0000, 0.0000, 0.5000)
P (0.8750, 0.6250, 0.7500)
P (0.8750, 0.2500, 0.6250)
P (0.6250, 0.7500, 0.8750)
P (0.5000, 0.0000, 0.0000)
P (0.2500, 0.3750, 0.6250)
P (0.1250, 0.3750, 0.2500)
P (0.2500, 0.8750, 0.1250)
P (0.7500, 0.6250, 0.3750)
P (0.0000, 0.5000, 0.0000)
P (0.5000, 0.5000, 0.0000)
P (0.0000, 0.5000, 0.5000)
P (0.0000, 0.0000, 0.0000)
P (0.3750, 0.1250, 0.7500)
P (0.5000, 0.5000, 0.5000)
P (0.6250, 0.8750, 0.2500)
P (0.7500, 0.1250, 0.8750)
In (0.1325, 0.7301, 0.5567)
In (0.0977, 0.9243, 0.3675)
In (0.0567, 0.4243, 0.8266)
In (0.9243, 0.0977, 0.8675)
In (0.2301, 0.6734, 0.0977)
In (0.3266, 0.7699, 0.4023)
In (0.6734, 0.2301, 0.5977)
In (0.7301, 0.5977, 0.1734)
In (0.5757, 0.9433, 0.6734)
In (0.4433, 0.6734, 0.0757)
In (0.2301, 0.5567, 0.6325)
In (0.6734, 0.4433, 0.5757)
In (0.0977, 0.1734, 0.2301)
In (0.8675, 0.5977, 0.9243)
In (0.4023, 0.1325, 0.5757)
In (0.4023, 0.2699, 0.3266)
In (0.5977, 0.7301, 0.6734)
In (0.7699, 0.4433, 0.3675)
In (0.9433, 0.3675, 0.2699)
In (0.5757, 0.6325, 0.4023)
In (0.6325, 0.5757, 0.9023)
In (0.1325, 0.4023, 0.0757)
In (0.9243, 0.8266, 0.5567)
In (0.8675, 0.2699, 0.4433)
In (0.7699, 0.3266, 0.9023)
In (0.4243, 0.0567, 0.3266)
In (0.9023, 0.8266, 0.7699)
In (0.2699, 0.4023, 0.8266)
In (0.5567, 0.3266, 0.9243)
In (0.5567, 0.2301, 0.1325)
In (0.3675, 0.4243, 0.0977)
In (0.0757, 0.1734, 0.4433)
In (0.0757, 0.9023, 0.1325)
In (0.4433, 0.7699, 0.8675)
In (0.1734, 0.0757, 0.9433)
In (0.2699, 0.8675, 0.9433)
In (0.7301, 0.1325, 0.0567)
In (0.5977, 0.8675, 0.4243)
In (0.9023, 0.0757, 0.6325)
In (0.8266, 0.9023, 0.2699)
In (0.3675, 0.9433, 0.7699)
In (0.6325, 0.0567, 0.2301)
In (0.3266, 0.5567, 0.4243)
In (0.0567, 0.6325, 0.7301)
In (0.9433, 0.5757, 0.1734)
In (0.4243, 0.3675, 0.5977)
In (0.1734, 0.0977, 0.7301)
In (0.8266, 0.9243, 0.0567)
Au (0.7500, 0.3750, 0.1250)
Au (0.2500, 0.1250, 0.3750)
Au (0.7500, 0.8750, 0.6250)
Au (0.8750, 0.1250, 0.2500)
Au (0.3750, 0.6250, 0.2500)
Au (0.8750, 0.7500, 0.1250)
Au (0.6250, 0.3750, 0.7500)
Au (0.1250, 0.8750, 0.7500)
Au (0.1250, 0.2500, 0.8750)
Au (0.3750, 0.7500, 0.6250)
Au (0.6250, 0.2500, 0.3750)
Au (0.2500, 0.6250, 0.8750)



# 2
## InPAuS2 (GGA-PBE)

Data for an optimized crystal structure of InPAuS2.

raw total energy	-17.50	eV/f.u.
crystal system	tetragonal
symmetry	P4/mmm, No. 123
DOS(E_F)	0.548	states/eV per atom

Unit cell a=4.3663 b=4.3663 c=6.0555 alpha=90.00 beta=90.00 gamma=90.00
Fractional positions:
Au (0.5000, 0.5000, 0.5000)
P (0.0000, 0.0000, 0.0000)
S (0.5000, 0.0000, 0.0000)
S (0.0000, 0.5000, 0.0000)
In (0.0000, 0.0000, 0.5000)



# 3
## InPAuS2 (GGA-PBE)

Data for an optimized crystal structure of InPAuS2.

raw total energy	-16.50	eV/f.u.
crystal system	tetragonal
symmetry	P4/mmm, No. 123
DOS(E_F)	1.084	states/eV per atom

Unit cell a=5.0471 b=4.6653 c=5.0471 alpha=90.00 beta=90.00 gamma=90.00
Each line ends with the local moment (μB).
Fractional positions:
Au (0.0000, 0.0000, 0.0000)  0.03
S (0.0000, 0.0000, 0.5000)  0.01
S (0.5000, 0.0000, 0.0000)  -0.02
P (0.0000, 0.5000, 0.0000)  0.28
In (0.5000, 0.5000, 0.5000)  0.01



# 4
## InPAuS2 (GGA-PBE)

Data for an optimized crystal structure of InPAuS2.

raw total energy	-14.56	eV/f.u.
crystal system	tetragonal
symmetry	P4/mmm, No. 123
DOS(E_F)	1.051	states/eV per atom

Unit cell a=5.0029 b=5.0029 c=5.0885 alpha=90.00 beta=90.00 gamma=90.00
Each line ends with the local moment (μB).
Fractional positions:
S (0.5000, 0.0000, 0.0000)  0.13
S (0.0000, 0.5000, 0.0000)  0.13
P (0.0000, 0.0000, 0.5000)  0.45
Au (0.5000, 0.5000, 0.5000)  0.05
In (0.0000, 0.0000, 0.0000)  0.00



Which formula does entry 4 have?
InPAuS2